Record 1
# Ho11Cd9Ag4, optimized geometry, DFT PBE
data_Ho11Cd9Ag4
_chemical_formula_sum 'Ho22 Cd18 Ag8'
_space_group_name_H-M_alt 'C m m m'
_space_group_IT_number 65
_space_group_name_Hall '-C 2 2'
_cell_length_a 14.693
_cell_length_b 21.975
_cell_length_c 3.712
_cell_angle_alpha 90.00
_cell_angle_beta 90.00
_cell_angle_gamma 90.00
loop_
_atom_site_label
_atom_site_type_symbol
_atom_site_fract_x
_atom_site_fract_y
_atom_site_fract_z
_atom_site_occupancy
Ho1 Ho 0.000 0.000 0.000 1
Ho2 Ho 0.000 0.164 0.000 1
Ho3 Ho 0.000 0.359 0.000 1
Ho4 Ho 0.216 0.500 0.000 1
Ho5 Ho 0.242 0.172 0.000 1
Cd1 Cd 0.000 0.500 0.500 1
Cd2 Cd 0.108 0.260 0.500 1
Cd3 Cd 0.136 0.075 0.500 1
Ag1 Ag 0.147 0.403 0.500 1
# Crystal system: orthorhombic



Record 2
# Ho2Cd3Ag3, optimized geometry, DFT PBE
data_Ho2Cd3Ag3
_chemical_formula_sum 'Ho6 Cd9 Ag9'
_space_group_name_H-M_alt 'R 3 m'
_space_group_IT_number 160
_space_group_name_Hall 'R 3 -2"'
_cell_length_a 4.9700
_cell_length_b 4.9700
_cell_length_c 24.2052
_cell_angle_alpha 90.00
_cell_angle_beta 90.00
_cell_angle_gamma 120.00
loop_
_atom_site_label
_atom_site_type_symbol
_atom_site_fract_x
_atom_site_fract_y
_atom_site_fract_z
_atom_site_occupancy
Ho1 Ho 0.0000 0.0000 0.0000 1
Ho2 Ho 0.0000 0.0000 0.4943 1
Cd1 Cd 0.0000 0.0000 0.2483 1
Cd2 Cd 0.0000 0.0000 0.7460 1
Cd3 Cd 0.0000 0.0000 0.8725 1
Ag1 Ag 0.0000 0.0000 0.1243 1
Ag2 Ag 0.0000 0.0000 0.3705 1
Ag3 Ag 0.0000 0.0000 0.6216 1
# Crystal system: trigonal



Record 3
# Ho4Cd5Ag, optimized geometry, DFT PBE
data_Ho4Cd5Ag
_chemical_formula_sum 'Ho4 Cd5 Ag1'
_space_group_name_H-M_alt 'P 4/m m m'
_space_group_IT_number 123
_space_group_name_Hall '-P 4 2'
_cell_length_a 3.661
_cell_length_b 3.661
_cell_length_c 18.310
_cell_angle_alpha 90.00
_cell_angle_beta 90.00
_cell_angle_gamma 90.00
loop_
_atom_site_label
_atom_site_type_symbol
_atom_site_fract_x
_atom_site_fract_y
_atom_site_fract_z
_atom_site_occupancy
Ho1 Ho 0.000 0.000 0.104 1
Ho2 Ho 0.000 0.000 0.311 1
Cd1 Cd 0.500 0.500 0.000 1
Cd2 Cd 0.500 0.500 0.207 1
Cd3 Cd 0.500 0.500 0.415 1
Ag1 Ag 0.000 0.000 0.500 1
# Crystal system: tetragonal



Record 4
# Ho4Cd5Ag, optimized geometry, DFT PBE
data_Ho4Cd5Ag
_chemical_formula_sum 'Ho8 Cd10 Ag2'
_space_group_name_H-M_alt 'C 1 2/m 1'
_space_group_IT_number 12
_space_group_name_Hall '-C 2y'
_cell_length_a 15.611
_cell_length_b 5.095
_cell_length_c 6.435
_cell_angle_alpha 90.00
_cell_angle_beta 106.61
_cell_angle_gamma 90.00
loop_
_atom_site_label
_atom_site_type_symbol
_atom_site_fract_x
_atom_site_fract_y
_atom_site_fract_z
_atom_site_occupancy
Ho1 Ho 0.096 0.000 0.391 1
Ho2 Ho 0.190 0.500 0.804 1
Cd1 Cd 0.000 0.500 0.000 1
Cd2 Cd 0.100 0.000 0.911 1
Cd3 Cd 0.200 0.500 0.304 1
Ag1 Ag 0.000 0.500 0.500 1
# Crystal system: monoclinic



Record 5
# HoCd2Ag, optimized geometry, DFT PBE
data_HoCd2Ag
_chemical_formula_sum 'Ho1 Cd2 Ag1'
_space_group_name_H-M_alt 'P 4/m m m'
_space_group_IT_number 123
_space_group_name_Hall '-P 4 2'
_cell_length_a 3.428
_cell_length_b 3.428
_cell_length_c 7.623
_cell_angle_alpha 90.00
_cell_angle_beta 90.00
_cell_angle_gamma 90.00
loop_
_atom_site_label
_atom_site_type_symbol
_atom_site_fract_x
_atom_site_fract_y
_atom_site_fract_z
_atom_site_occupancy
Ho1 Ho 0.000 0.000 0.000 1
Cd1 Cd 0.500 0.500 0.280 1
Ag1 Ag 0.000 0.000 0.500 1
# Crystal system: tetragonal



Record 6
# HoCd7Ag5, optimized geometry, DFT PBE
data_HoCd7Ag5
_chemical_formula_sum 'Ho2 Cd14 Ag10'
_space_group_name_H-M_alt 'C 1 m 1'
_space_group_IT_number 8
_space_group_name_Hall 'C -2y'
_cell_length_a 11.190
_cell_length_b 9.914
_cell_length_c 5.624
_cell_angle_alpha 90.00
_cell_angle_beta 118.81
_cell_angle_gamma 90.00
loop_
_atom_site_label
_atom_site_type_symbol
_atom_site_fract_x
_atom_site_fract_y
_atom_site_fract_z
_atom_site_occupancy
Ho1 Ho 0.000 0.000 0.000 1
Cd1 Cd 0.151 0.500 0.662 1
Cd2 Cd 0.273 0.500 0.276 1
Cd3 Cd 0.339 0.000 0.333 1
Cd4 Cd 0.485 0.156 0.987 1
Cd5 Cd 0.490 0.299 0.492 1
Ag1 Ag 0.206 0.000 0.708 1
Ag2 Ag 0.237 0.248 0.992 1
Ag3 Ag 0.238 0.249 0.491 1
# Crystal system: monoclinic



Record 7
# HoCd4Ag4, optimized geometry, DFT PBE
data_HoCd4Ag4
_chemical_formula_sum 'Ho2 Cd8 Ag8'
_space_group_name_H-M_alt 'I 4/m m m'
_space_group_IT_number 139
_space_group_name_Hall '-I 4 2'
_cell_length_a 9.738
_cell_length_b 9.738
_cell_length_c 3.960
_cell_angle_alpha 90.00
_cell_angle_beta 90.00
_cell_angle_gamma 90.00
loop_
_atom_site_label
_atom_site_type_symbol
_atom_site_fract_x
_atom_site_fract_y
_atom_site_fract_z
_atom_site_occupancy
Ho1 Ho 0.000 0.000 0.000 1
Cd1 Cd 0.000 0.327 0.000 1
Ag1 Ag 0.170 0.170 0.500 1
# Crystal system: tetragonal



Record 8
# HoCd2Ag2, optimized geometry, DFT PBE
data_HoCd2Ag2
_chemical_formula_sum 'Ho4 Cd8 Ag8'
_space_group_name_H-M_alt 'I m m a'
_space_group_IT_number 74
_space_group_name_Hall '-I 2b 2'
_cell_length_a 3.445
_cell_length_b 4.716
_cell_length_c 27.775
_cell_angle_alpha 90.00
_cell_angle_beta 90.00
_cell_angle_gamma 90.00
loop_
_atom_site_label
_atom_site_type_symbol
_atom_site_fract_x
_atom_site_fract_y
_atom_site_fract_z
_atom_site_occupancy
Ho1 Ho 0.000 0.250 0.073 1
Cd1 Cd 0.000 0.250 0.317 1
Cd2 Cd 0.000 0.250 0.792 1
Ag1 Ag 0.000 0.250 0.525 1
Ag2 Ag 0.000 0.250 0.623 1
# Crystal system: orthorhombic



Record 9
# HoCd2Ag4, optimized geometry, DFT PBE
data_HoCd2Ag4
_chemical_formula_sum 'Ho2 Cd4 Ag8'
_space_group_name_H-M_alt 'C 1 2/m 1'
_space_group_IT_number 12
_space_group_name_Hall '-C 2y'
_cell_length_a 9.893
_cell_length_b 6.653
_cell_length_c 5.844
_cell_angle_alpha 90.00
_cell_angle_beta 125.56
_cell_angle_gamma 90.00
loop_
_atom_site_label
_atom_site_type_symbol
_atom_site_fract_x
_atom_site_fract_y
_atom_site_fract_z
_atom_site_occupancy
Ho1 Ho 0.000 0.000 0.000 1
Cd1 Cd 0.000 0.500 0.000 1
Cd2 Cd 0.000 0.500 0.500 1
Ag1 Ag 0.250 0.250 0.000 1
Ag2 Ag 0.250 0.250 0.500 1
# Crystal system: monoclinic



Record 10
# HoCd5Ag2, optimized geometry, DFT PBE
data_HoCd5Ag2
_chemical_formula_sum 'Ho2 Cd10 Ag4'
_space_group_name_H-M_alt 'I m m m'
_space_group_IT_number 71
_space_group_name_Hall '-I 2 2'
_cell_length_a 3.390
_cell_length_b 9.194
_cell_length_c 11.231
_cell_angle_alpha 90.00
_cell_angle_beta 90.00
_cell_angle_gamma 90.00
loop_
_atom_site_label
_atom_site_type_symbol
_atom_site_fract_x
_atom_site_fract_y
_atom_site_fract_z
_atom_site_occupancy
Ho1 Ho 0.000 0.000 0.000 1
Cd1 Cd 0.000 0.225 0.367 1
Cd2 Cd 0.000 0.500 0.000 1
Ag1 Ag 0.000 0.500 0.258 1
# Crystal system: orthorhombic



Record 11
# Ho3Cd2Ag3, optimized geometry, DFT PBE
data_Ho3Cd2Ag3
_chemical_formula_sum 'Ho6 Cd4 Ag6'
_space_group_name_H-M_alt 'I m m m'
_space_group_IT_number 71
_space_group_name_Hall '-I 2 2'
_cell_length_a 3.693
_cell_length_b 5.086
_cell_length_c 19.879
_cell_angle_alpha 90.00
_cell_angle_beta 90.00
_cell_angle_gamma 90.00
loop_
_atom_site_label
_atom_site_type_symbol
_atom_site_fract_x
_atom_site_fract_y
_atom_site_fract_z
_atom_site_occupancy
Ho1 Ho 0.000 0.000 0.000 1
Ho2 Ho 0.000 0.500 0.128 1
Cd1 Cd 0.000 0.000 0.238 1
Ag1 Ag 0.000 0.000 0.500 1
Ag2 Ag 0.000 0.500 0.377 1
# Crystal system: orthorhombic



Record 12
# Ho2Cd3Ag4, optimized geometry, DFT PBE
data_Ho2Cd3Ag4
_chemical_formula_sum 'Ho4 Cd6 Ag8'
_space_group_name_H-M_alt 'C 1 2/m 1'
_space_group_IT_number 12
_space_group_name_Hall '-C 2y'
_cell_length_a 8.607
_cell_length_b 4.862
_cell_length_c 9.185
_cell_angle_alpha 90.00
_cell_angle_beta 92.58
_cell_angle_gamma 90.00
loop_
_atom_site_label
_atom_site_type_symbol
_atom_site_fract_x
_atom_site_fract_y
_atom_site_fract_z
_atom_site_occupancy
Ho1 Ho 0.172 0.000 0.225 1
Cd1 Cd 0.000 0.500 0.000 1
Cd2 Cd 0.160 0.000 0.579 1
Ag1 Ag 0.010 0.500 0.348 1
Ag2 Ag 0.164 0.000 0.900 1
# Crystal system: monoclinic



Record 13
# HoCd10Ag2, optimized geometry, DFT PBE
data_HoCd10Ag2
_chemical_formula_sum 'Ho4 Cd40 Ag8'
_space_group_name_H-M_alt 'F m m m'
_space_group_IT_number 69
_space_group_name_Hall '-F 2 2'
_cell_length_a 5.790
_cell_length_b 14.005
_cell_length_c 14.095
_cell_angle_alpha 90.00
_cell_angle_beta 90.00
_cell_angle_gamma 90.00
loop_
_atom_site_label
_atom_site_type_symbol
_atom_site_fract_x
_atom_site_fract_y
_atom_site_fract_z
_atom_site_occupancy
Ho1 Ho 0.000 0.000 0.000 1
Cd1 Cd 0.000 0.107 0.396 1
Cd2 Cd 0.000 0.177 0.170 1
Cd3 Cd 0.250 0.000 0.250 1
Ag1 Ag 0.250 0.250 0.000 1
# Crystal system: orthorhombic



Record 14
# Ho3Cd7Ag, optimized geometry, DFT PBE
data_Ho3Cd7Ag
_chemical_formula_sum 'Ho12 Cd28 Ag4'
_space_group_name_H-M_alt 'C m c m'
_space_group_IT_number 63
_space_group_name_Hall '-C 2c 2'
_cell_length_a 3.505
_cell_length_b 23.690
_cell_length_c 13.344
_cell_angle_alpha 90.00
_cell_angle_beta 90.00
_cell_angle_gamma 90.00
loop_
_atom_site_label
_atom_site_type_symbol
_atom_site_fract_x
_atom_site_fract_y
_atom_site_fract_z
_atom_site_occupancy
Ho1 Ho 0.000 0.094 0.042 1
Ho2 Ho 0.000 0.248 0.750 1
Cd1 Cd 0.000 0.295 0.538 1
Cd2 Cd 0.000 0.356 0.144 1
Cd3 Cd 0.000 0.393 0.750 1
Cd4 Cd 0.000 0.491 0.115 1
Ag1 Ag 0.000 0.066 0.750 1
# Crystal system: orthorhombic



Record 15
# Ho4CdAg, optimized geometry, DFT PBE
data_Ho4CdAg
_chemical_formula_sum 'Ho4 Cd1 Ag1'
_space_group_name_H-M_alt 'P 4/m m m'
_space_group_IT_number 123
_space_group_name_Hall '-P 4 2'
_cell_length_a 3.573
_cell_length_b 3.573
_cell_length_c 12.770
_cell_angle_alpha 90.00
_cell_angle_beta 90.00
_cell_angle_gamma 90.00
loop_
_atom_site_label
_atom_site_type_symbol
_atom_site_fract_x
_atom_site_fract_y
_atom_site_fract_z
_atom_site_occupancy
Ho1 Ho 0.000 0.000 0.145 1
Ho2 Ho 0.500 0.500 0.338 1
Cd1 Cd 0.000 0.000 0.500 1
Ag1 Ag 0.500 0.500 0.000 1
# Crystal system: tetragonal



Record 16
# Ho3Cd2Ag4, optimized geometry, DFT PBE
data_Ho3Cd2Ag4
_chemical_formula_sum 'Ho6 Cd4 Ag8'
_space_group_name_H-M_alt 'C 1 2/m 1'
_space_group_IT_number 12
_space_group_name_Hall '-C 2y'
_cell_length_a 8.723
_cell_length_b 5.033
_cell_length_c 9.150
_cell_angle_alpha 90.00
_cell_angle_beta 90.09
_cell_angle_gamma 90.00
loop_
_atom_site_label
_atom_site_type_symbol
_atom_site_fract_x
_atom_site_fract_y
_atom_site_fract_z
_atom_site_occupancy
Ho1 Ho 0.000 0.000 0.000 1
Ho2 Ho 0.166 0.500 0.402 1
Cd1 Cd 0.167 0.500 0.765 1
Ag1 Ag 0.001 0.000 0.658 1
Ag2 Ag 0.167 0.500 0.077 1
# Crystal system: monoclinic



Record 17
# Ho5Cd2Ag2, optimized geometry, DFT PBE
data_Ho5Cd2Ag2
_chemical_formula_sum 'Ho20 Cd8 Ag8'
_space_group_name_H-M_alt 'C m c e'
_space_group_IT_number 64
_space_group_name_Hall '-C 2ac 2'
_cell_length_a 17.367
_cell_length_b 7.423
_cell_length_c 7.460
_cell_angle_alpha 90.00
_cell_angle_beta 90.00
_cell_angle_gamma 90.00
loop_
_atom_site_label
_atom_site_type_symbol
_atom_site_fract_x
_atom_site_fract_y
_atom_site_fract_z
_atom_site_occupancy
Ho1 Ho 0.000 0.000 0.000 1
Ho2 Ho 0.134 0.183 0.323 1
Cd1 Cd 0.224 0.000 0.000 1
Ag1 Ag 0.000 0.129 0.630 1
# Crystal system: orthorhombic



Record 18
# HoCd12Ag6, optimized geometry, DFT PBE
data_HoCd12Ag6
_chemical_formula_sum 'Ho3 Cd36 Ag18'
_space_group_name_H-M_alt 'R -3 m'
_space_group_IT_number 166
_space_group_name_Hall '-R 3 2"'
_cell_length_a 12.6320
_cell_length_b 12.6320
_cell_length_c 9.3117
_cell_angle_alpha 90.00
_cell_angle_beta 90.00
_cell_angle_gamma 120.00
loop_
_atom_site_label
_atom_site_type_symbol
_atom_site_fract_x
_atom_site_fract_y
_atom_site_fract_z
_atom_site_occupancy
Ho1 Ho 0.0000 0.0000 0.0000 1
Cd1 Cd 0.0000 0.3865 0.5000 1
Cd2 Cd 0.0822 0.1645 0.2849 1
Ag1 Ag 0.0655 0.5328 0.2319 1
# Crystal system: trigonal



Record 19
# Ho2CdAg3, optimized geometry, DFT PBE
data_Ho2CdAg3
_chemical_formula_sum 'Ho16 Cd8 Ag24'
_space_group_name_H-M_alt 'F m m m'
_space_group_IT_number 69
_space_group_name_Hall '-F 2 2'
_cell_length_a 6.601
_cell_length_b 9.675
_cell_length_c 16.774
_cell_angle_alpha 90.00
_cell_angle_beta 90.00
_cell_angle_gamma 90.00
loop_
_atom_site_label
_atom_site_type_symbol
_atom_site_fract_x
_atom_site_fract_y
_atom_site_fract_z
_atom_site_occupancy
Ho1 Ho 0.247 0.000 0.000 1
Ho2 Ho 0.250 0.250 0.250 1
Cd1 Cd 0.000 0.000 0.334 1
Ag1 Ag 0.000 0.000 0.166 1
Ag2 Ag 0.000 0.250 0.083 1
# Crystal system: orthorhombic



Record 20
# HoCd2Ag3, optimized geometry, DFT PBE
data_HoCd2Ag3
_chemical_formula_sum 'Ho2 Cd4 Ag6'
_space_group_name_H-M_alt 'P 1 2/m 1'
_space_group_IT_number 10
_space_group_name_Hall '-P 2y'
_cell_length_a 4.972
_cell_length_b 6.852
_cell_length_c 7.717
_cell_angle_alpha 90.00
_cell_angle_beta 107.48
_cell_angle_gamma 90.00
loop_
_atom_site_label
_atom_site_type_symbol
_atom_site_fract_x
_atom_site_fract_y
_atom_site_fract_z
_atom_site_occupancy
Ho1 Ho 0.160 0.000 0.318 1
Cd1 Cd 0.174 0.500 0.347 1
Cd2 Cd 0.500 0.000 0.000 1
Cd3 Cd 0.500 0.500 0.000 1
Ag1 Ag 0.000 0.279 0.000 1
Ag2 Ag 0.333 0.253 0.669 1
# Crystal system: monoclinic



no.,magnetization (μB/atom),E_form (meV per atom)
1,0.00,-309.3
2,0.00,-273.9
3,0.00,-261.9
4,0.00,-279.5
5,0.04,-184.0
6,0.00,-101.2
7,0.00,-104.9
8,0.00,-147.5
9,0.00,34.3
10,0.00,-142.4
11,0.00,-264.7
12,0.00,-233.7
13,0.00,-82.7
14,0.00,-96.7
15,0.34,-183.4
16,0.00,-248.3
17,0.00,-185.7
18,0.00,12.7
19,0.00,-266.0
20,0.00,-153.6